P) Here is crystalline Ti3SiRu at its relaxed geometry from Alexandria via LeMat-Bulk. Energies are from PBE.

Cell lengths 4.637, 4.637, 4.637 Å; angles 90.00, 90.00, 90.00 degrees
Space group Pm-3m (No. 221)
One atom of each set of equivalent atoms:
Ti1 0.000 0.000 0.500 (multiplicity 3)
Si1 0.500 0.500 0.500 (multiplicity 1)
Ru1 0.000 0.000 0.000 (multiplicity 1)

Q) Here is crystalline Ti3SiRu at its relaxed geometry from Alexandria via LeMat-Bulk. Energies are from PBE.

Cell lengths 4.523, 4.523, 4.523 Å; angles 90.00, 90.00, 90.00 degrees
Space group Pm-3m (No. 221)
One atom of each set of equivalent atoms:
Ti1 0.000 0.000 0.500 (multiplicity 3)
Si1 0.000 0.000 0.000 (multiplicity 1)
Ru1 0.500 0.500 0.500 (multiplicity 1)

Sorted by energy, starting with the most stable: P), Q).

P) Here is crystalline TlSi2Ru at its relaxed geometry from Alexandria via LeMat-Bulk. Energies are from PBE.

Cell lengths 8.445, 3.003, 6.590 Å; angles 90.00, 109.64, 90.00 degrees
Space group Cm (No. 8)
One atom of each set of equivalent atoms:
Tl1 0.000 0.000 0.000 (multiplicity 2)
Si1 0.173 0.000 0.705 (multiplicity 2)
Si2 0.357 0.000 0.400 (multiplicity 2)
Ru1 0.142 0.500 0.413 (multiplicity 2)

Q) Here is crystalline TlSi2Ru at its relaxed geometry from Alexandria via LeMat-Bulk. Energies are from PBE.

Cell lengths 3.221, 3.777, 12.367 Å; angles 90.00, 90.00, 90.00 degrees
Space group Amm2 (No. 38)
One atom of each set of equivalent atoms:
Tl1 0.000 0.000 0.000 (multiplicity 2)
Si1 0.000 0.000 0.220 (multiplicity 2)
Si2 0.500 0.000 0.752 (multiplicity 2)
Ru1 0.500 0.000 0.367 (multiplicity 2)

R) Here is crystalline TlSi2Ru at its relaxed geometry from Alexandria via LeMat-Bulk. Energies are from PBE.

Cell lengths 5.671, 5.671, 13.820 Å; angles 90.00, 90.00, 90.00 degrees
Space group I-42d (No. 122)
One atom of each set of equivalent atoms:
Tl1 0.000 0.000 0.000 (multiplicity 4)
Si1 0.004 0.250 0.625 (multiplicity 8)
Ru1 0.000 0.000 0.500 (multiplicity 4)

S) Here is crystalline TlSi2Ru at its relaxed geometry from Alexandria via LeMat-Bulk. Energies are from PBE.

Cell lengths 4.207, 4.207, 7.558 Å; angles 90.00, 90.00, 90.00 degrees
Space group I4/mmm (No. 139)
One atom of each set of equivalent atoms:
Tl1 0.000 0.000 0.000 (multiplicity 2)
Si1 0.000 0.500 0.250 (multiplicity 4)
Ru1 0.000 0.000 0.500 (multiplicity 2)

Sorted by energy, starting with the most stable: P), Q), R), S).

P) Here is crystalline TlSi2Ru at its relaxed geometry from Alexandria via LeMat-Bulk. Energies are from PBE.

Cell lengths 6.464, 6.464, 6.464 Å; angles 90.00, 90.00, 90.00 degrees
Space group Fm-3m (No. 225)
One atom of each set of equivalent atoms:
Tl1 0.000 0.000 0.000 (multiplicity 4)
Si1 0.250 0.250 0.250 (multiplicity 8)
Ru1 0.000 0.000 0.500 (multiplicity 4)

Q) Here is crystalline TlSi2Ru at its relaxed geometry from Alexandria via LeMat-Bulk. Energies are from PBE.

Cell lengths 4.094, 4.094, 7.959 Å; angles 90.00, 90.00, 90.00 degrees
Space group I-4m2 (No. 119)
One atom of each set of equivalent atoms:
Tl1 0.000 0.000 0.000 (multiplicity 2)
Si1 0.000 0.000 0.500 (multiplicity 2)
Si2 0.000 0.500 0.250 (multiplicity 2)
Ru1 0.000 0.500 0.750 (multiplicity 2)

Sorted by energy, starting with the most stable: P), Q).

P) Here is crystalline TlSi2Ru at its relaxed geometry from Alexandria via LeMat-Bulk. Energies are from PBE.

Cell lengths 4.543, 4.543, 3.292 Å; angles 90.00, 90.00, 90.00 degrees
Space group P4/mmm (No. 123)
One atom of each set of equivalent atoms:
Tl1 0.000 0.000 0.000 (multiplicity 1)
Si1 0.000 0.500 0.500 (multiplicity 2)
Ru1 0.500 0.500 0.000 (multiplicity 1)

Q) Here is crystalline TlSi2Ru at its relaxed geometry from Alexandria via LeMat-Bulk. Energies are from PBE.

Cell lengths 5.405, 7.673, 3.255 Å; angles 90.00, 90.00, 90.00 degrees
Space group Cmmm (No. 65)
One atom of each set of equivalent atoms:
Tl1 0.000 0.000 0.000 (multiplicity 2)
Si1 0.250 0.250 0.500 (multiplicity 4)
Ru1 0.000 0.500 0.000 (multiplicity 2)

R) Here is crystalline TlSi2Ru at its relaxed geometry from Alexandria via LeMat-Bulk. Energies are from PBE.

Cell lengths 3.1783, 3.1783, 24.0035 Å; angles 90.00, 90.00, 120.00 degrees
Space group R3m (No. 160, hexagonal axes)
One atom of each set of equivalent atoms:
Tl1 0.0000 0.0000 0.0000 (multiplicity 3)
Si1 0.0000 0.0000 0.2330 (multiplicity 3)
Si2 0.0000 0.0000 0.4928 (multiplicity 3)
Ru1 0.0000 0.0000 0.7617 (multiplicity 3)

S) Here is crystalline TlSi2Ru at its relaxed geometry from Alexandria via LeMat-Bulk. Energies are from PBE.

Cell lengths 6.490, 6.490, 6.490 Å; angles 90.00, 90.00, 90.00 degrees
Space group F-43m (No. 216)
One atom of each set of equivalent atoms:
Tl1 0.000 0.000 0.000 (multiplicity 4)
Si1 0.000 0.000 0.500 (multiplicity 4)
Si2 0.250 0.250 0.750 (multiplicity 4)
Ru1 0.250 0.250 0.250 (multiplicity 4)

Sorted by energy, starting with the most stable: R), Q), P), S).

P) Here is crystalline TlSi2Ru at its relaxed geometry from Alexandria via LeMat-Bulk. Energies are from PBE.

Cell lengths 5.451, 8.426, 3.304 Å; angles 90.00, 113.87, 90.00 degrees
Space group C2/m (No. 12)
One atom of each set of equivalent atoms:
Tl1 0.000 0.000 0.000 (multiplicity 2)
Si1 0.250 0.250 0.500 (multiplicity 4)
Ru1 0.000 0.500 0.000 (multiplicity 2)

Q) Here is crystalline TlSi2Ru at its relaxed geometry from Alexandria via LeMat-Bulk. Energies are from PBE.

Cell lengths 3.259, 4.443, 4.725 Å; angles 90.00, 90.00, 90.00 degrees
Space group Pmmm (No. 47)
One atom of each set of equivalent atoms:
Tl1 0.000 0.000 0.000 (multiplicity 1)
Si1 0.000 0.500 0.500 (multiplicity 1)
Si2 0.500 0.000 0.500 (multiplicity 1)
Ru1 0.500 0.500 0.000 (multiplicity 1)

R) Here is crystalline TlSi2Ru at its relaxed geometry from Alexandria via LeMat-Bulk. Energies are from PBE.

Cell lengths 6.985, 4.045, 6.508 Å; angles 90.00, 110.99, 90.00 degrees
Space group C2/m (No. 12)
One atom of each set of equivalent atoms:
Tl1 0.000 0.000 0.000 (multiplicity 2)
Si1 0.200 0.000 0.601 (multiplicity 4)
Ru1 0.000 0.500 0.500 (multiplicity 2)

Sorted by energy, starting with the most stable: R), P), Q).

P) Here is crystalline TlSiRu at its relaxed geometry from Alexandria via LeMat-Bulk. Energies are from PBE.

Cell lengths 3.1436, 3.1436, 6.4516 Å; angles 90.00, 90.00, 120.00 degrees
Space group P3m1 (No. 156)
One atom of each set of equivalent atoms:
Tl1 0.0000 0.0000 0.0000 (multiplicity 1)
Si1 0.3333 0.6667 0.5998 (multiplicity 1)
Ru1 0.6667 0.3333 0.3637 (multiplicity 1)

Q) Here is crystalline TlSiRu at its relaxed geometry from Alexandria via LeMat-Bulk. Energies are from PBE.

Cell lengths 4.0706, 4.0706, 3.8672 Å; angles 90.00, 90.00, 120.00 degrees
Space group P-6m2 (No. 187)
One atom of each set of equivalent atoms:
Tl1 0.0000 0.0000 0.0000 (multiplicity 1)
Si1 0.3333 0.6667 0.5000 (multiplicity 1)
Ru1 0.6667 0.3333 0.5000 (multiplicity 1)

R) Here is crystalline TlSiRu at its relaxed geometry from Alexandria via LeMat-Bulk. Energies are from PBE.

Cell lengths 3.211, 3.211, 10.324 Å; angles 90.00, 90.00, 90.00 degrees
Space group I4mm (No. 107)
One atom of each set of equivalent atoms:
Tl1 0.000 0.000 0.000 (multiplicity 2)
Si1 0.000 0.000 0.294 (multiplicity 2)
Ru1 0.000 0.000 0.706 (multiplicity 2)

Sorted by energy, starting with the most stable: R), P), Q).

P) Here is crystalline Tl2SiRu2 at its relaxed geometry from Alexandria via LeMat-Bulk. Energies are from PBE.

Cell lengths 6.368, 6.368, 4.494 Å; angles 90.00, 90.00, 90.00 degrees
Space group P4/mbm (No. 127)
One atom of each set of equivalent atoms:
Tl1 0.164 0.336 0.000 (multiplicity 4)
Si1 0.000 0.000 0.500 (multiplicity 2)
Ru1 0.158 0.658 0.500 (multiplicity 4)

Q) Here is crystalline Tl2SiRu2 at its relaxed geometry from Alexandria via LeMat-Bulk. Energies are from PBE.

Cell lengths 3.865, 3.865, 13.458 Å; angles 90.00, 90.00, 90.00 degrees
Space group I4/mmm (No. 139)
One atom of each set of equivalent atoms:
Tl1 0.000 0.500 0.250 (multiplicity 4)
Si1 0.000 0.000 0.000 (multiplicity 2)
Ru1 0.000 0.000 0.411 (multiplicity 4)

Sorted by energy, starting with the most stable: P), Q).

P) Here is crystalline U2Si3Ru at its relaxed geometry from Alexandria via LeMat-Bulk. Energies are from PBE.

Cell lengths 8.2324, 8.2324, 3.7280 Å; angles 90.00, 90.00, 120.00 degrees
Space group P-3m1 (No. 164)
One atom of each set of equivalent atoms:
U1 0.0000 0.0000 0.0000 (multiplicity 1)
U2 0.0000 0.5000 0.0000 (multiplicity 3)
Si1 0.1640 0.3280 0.5003 (multiplicity 6)
Ru1 0.3333 0.6667 0.4992 (multiplicity 2)

Q) Here is crystalline U2Si3Ru at its relaxed geometry from Alexandria via LeMat-Bulk. Energies are from PBE.

Cell lengths 7.568, 8.266, 14.034 Å; angles 90.00, 90.00, 90.00 degrees
Space group Fmmm (No. 69)
One atom of each set of equivalent atoms:
U1 0.241 0.000 0.000 (multiplicity 8)
U2 0.250 0.250 0.250 (multiplicity 8)
Si1 0.000 0.000 0.335 (multiplicity 8)
Si2 0.000 0.243 0.417 (multiplicity 16)
Ru1 0.000 0.000 0.163 (multiplicity 8)

Sorted by energy, starting with the most stable: P), Q).